[1]
## CoTe2Cl (SCAN)

Data for a PBEsol-optimized structure of CoTe2Cl.

a b c (Å): 3.464 3.464 8.805
angles (deg): 78.65 78.65 60.00
Atoms (fractional coordinates):
Te1 0.971 0.971 0.086
Te2 0.744 0.744 0.768
Co1 0.251 0.251 0.247
Cl1 0.534 0.534 0.399

Output
Formation energy without anion corrections (meV/atom): -127
Magnetic moment (μB/atom): 0.00
Calculated volume (Å³/atom): 22.3
Space-group type: No. 160
DOS at the Fermi energy (states/eV/f.u.): 2.2
Mass density (g/cm³): 6.5

[2]
## CoTe2Cl (SCAN)

Data for a PBEsol-optimized structure of CoTe2Cl.

a b c (Å): 3.085 5.049 5.049
angles (deg): 90.01 90.00 90.00
Atoms (fractional coordinates):
Te1 0.000 0.500 0.000
Te2 0.000 0.000 0.500
Co1 0.500 0.500 0.500
Cl1 0.500 0.000 0.000

Output
Formation energy without anion corrections (meV/atom): 583
Magnetic moment (μB/atom): 0.45
Calculated volume (Å³/atom): 19.7
Space-group type: No. 123
DOS at the Fermi energy (states/eV/f.u.): 2.8
Mass density (g/cm³): 7.4

[3]
## CoTe2Cl (SCAN)

Data for a PBEsol-optimized structure of CoTe2Cl.

a b c (Å): 4.909 4.909 4.909
angles (deg): 102.15 113.25 113.25
Atoms (fractional coordinates):
Te1 0.500 0.500 0.000
Te2 0.500 0.000 0.500
Co1 0.000 0.000 0.000
Cl1 0.000 0.500 0.500

Output
Formation energy without anion corrections (meV/atom): 147
Magnetic moment (μB/atom): 0.47
Calculated volume (Å³/atom): 22.5
Space-group type: No. 139
DOS at the Fermi energy (states/eV/f.u.): 1.2
Mass density (g/cm³): 6.5

[4]
## CoTe2Cl (SCAN)

Data for a PBEsol-optimized structure of CoTe2Cl.

a b c (Å): 3.724 3.724 7.456
angles (deg): 76.17 76.17 60.06
Atoms (fractional coordinates):
Te1 0.223 0.223 0.821
Te2 0.777 0.777 0.179
Co1 0.500 0.500 0.000
Cl1 0.000 0.000 0.500

Output
Formation energy without anion corrections (meV/atom): -261
Magnetic moment (μB/atom): 0.00
Calculated volume (Å³/atom): 21.5
Space-group type: No. 12
DOS at the Fermi energy (states/eV/f.u.): 2.6
Mass density (g/cm³): 6.7

[5]
## Zr2CoTeCl (SCAN)

Data for a PBEsol-optimized structure of Zr2CoTeCl.

a b c (Å): 5.275 5.275 5.245
angles (deg): 90.00 90.00 90.00
Atoms (fractional coordinates):
Te1 0.000 0.000 0.000
Co1 0.500 0.500 0.500
Zr1 0.000 0.500 0.000
Zr2 0.500 0.000 0.000
Cl1 0.000 0.000 0.500

Output
Formation energy without anion corrections (meV/atom): 1026
Magnetic moment (μB/atom): 0.40
Calculated volume (Å³/atom): 29.2
Space-group type: No. 123
DOS at the Fermi energy (states/eV/f.u.): 5.4
Mass density (g/cm³): 4.6

[6]
## Ti2CoCl (SCAN)

Data for a PBEsol-optimized structure of Ti2CoCl.

a b c (Å): 4.259 4.259 4.259
angles (deg): 60.00 60.00 60.00
Atoms (fractional coordinates):
Cl1 0.000 0.000 0.000
Co1 0.500 0.500 0.500
Ti1 0.250 0.250 0.250
Ti2 0.750 0.750 0.750

Output
Formation energy without anion corrections (meV/atom): 136
Magnetic moment (μB/atom): 0.00
Calculated volume (Å³/atom): 13.7
Space-group type: No. 225
DOS at the Fermi energy (states/eV/f.u.): 5.0
Mass density (g/cm³): 5.8

[7]
## Tl3CoCl (SCAN)

Data for a PBEsol-optimized structure of Tl3CoCl.

a b c (Å): 4.989 4.989 4.989
angles (deg): 90.00 90.00 90.00
Atoms (fractional coordinates):
Tl1 0.000 0.500 0.000
Tl2 0.000 0.000 0.500
Tl3 0.500 0.000 0.000
Co1 0.000 0.000 0.000
Cl1 0.500 0.500 0.500

Output
Formation energy without anion corrections (meV/atom): -204
Magnetic moment (μB/atom): 0.00
Calculated volume (Å³/atom): 24.8
Space-group type: No. 221
DOS at the Fermi energy (states/eV/f.u.): 2.7
Mass density (g/cm³): 9.5

[8]
## Tl3CoCl (SCAN)

Data for a PBEsol-optimized structure of Tl3CoCl.

a b c (Å): 5.608 5.608 5.608
angles (deg): 90.00 90.00 90.00
Atoms (fractional coordinates):
Tl1 0.000 0.500 0.000
Tl2 0.000 0.000 0.500
Tl3 0.500 0.000 0.000
Co1 0.500 0.500 0.500
Cl1 0.000 0.000 0.000

Output
Formation energy without anion corrections (meV/atom): 502
Magnetic moment (μB/atom): 0.41
Calculated volume (Å³/atom): 35.3
Space-group type: No. 221
DOS at the Fermi energy (states/eV/f.u.): 1.6
Mass density (g/cm³): 6.7